A geometry-optimized La2NdYSe4 structure, computed with PBE-GGA.

Summary:
Its uncorrected energy is -0.462 Ry per atom. The magnetization comes out at 0.00 μB/atom. Its crystal system is monoclinic. The calculated volume comes out at 215.0 Å³/cell. For the raw formation energy, the calculation gives -1902.2 meV per atom. Its density of states at the Fermi level is 5.46 states/eV/f.u.

Unit cell a=7.353 b=4.196 c=7.371 alpha=90.00 beta=109.04 gamma=90.00
Fractional coordinates of all 8 atoms:
La 0.000 0.000 0.000
La 0.500 0.500 0.000
Nd 0.000 0.500 0.500
Y 0.500 0.000 0.500
Se 0.253 0.000 0.741
Se 0.261 0.500 0.264
Se 0.739 0.500 0.736
Se 0.747 0.000 0.259

---

A geometry-optimized La4NdY3Se8 structure, computed with PBE-GGA.

Summary:
Its uncorrected energy is -0.469 Ry per atom. The magnetization comes out at 0.00 μB/atom. Its crystal system is trigonal. The calculated volume comes out at 424.6 Å³/cell. For the raw formation energy, the calculation gives -1892.9 meV per atom. Its density of states at the Fermi level is 10.56 states/eV/f.u.

Unit cell a=8.460 b=8.460 c=8.460 alpha=59.64 beta=59.64 gamma=59.64
Fractional coordinates of all 16 atoms:
La 0.000 0.000 0.000
La 0.000 0.500 0.500
La 0.500 0.000 0.500
La 0.500 0.500 0.000
Nd 0.500 0.500 0.500
Y 0.000 0.000 0.500
Y 0.000 0.500 0.000
Y 0.500 0.000 0.000
Se 0.239 0.749 0.749
Se 0.244 0.244 0.244
Se 0.251 0.251 0.761
Se 0.251 0.761 0.251
Se 0.749 0.239 0.749
Se 0.749 0.749 0.239
Se 0.756 0.756 0.756
Se 0.761 0.251 0.251

---

A geometry-optimized La3NdY3Se8 structure, computed with PBE-GGA.

Summary:
Its uncorrected energy is -0.469 Ry per atom. The magnetization comes out at 0.00 μB/atom. Its crystal system is trigonal. The calculated volume comes out at 415.6 Å³/cell. For the raw formation energy, the calculation gives -1921.3 meV per atom. Its density of states at the Fermi level is 7.91 states/eV/f.u.

Unit cell a=8.431 b=8.431 c=8.431 alpha=59.15 beta=59.15 gamma=59.15
Fractional coordinates of all 15 atoms:
La 0.000 0.500 0.500
La 0.500 0.000 0.500
La 0.500 0.500 0.000
Nd 0.500 0.500 0.500
Y 0.000 0.000 0.500
Y 0.000 0.500 0.000
Y 0.500 0.000 0.000
Se 0.235 0.754 0.754
Se 0.244 0.244 0.244
Se 0.246 0.246 0.765
Se 0.246 0.765 0.246
Se 0.754 0.235 0.754
Se 0.754 0.754 0.235
Se 0.756 0.756 0.756
Se 0.765 0.246 0.246

---

A geometry-optimized LaNdYSe3 structure, computed with PBE-GGA.

Summary:
Its uncorrected energy is -0.461 Ry per atom. The magnetization comes out at 0.00 μB/atom. Its crystal system is monoclinic. The calculated volume comes out at 320.2 Å³/cell. For the raw formation energy, the calculation gives -1830.9 meV per atom. Its density of states at the Fermi level is 3.92 states/eV/f.u.

Unit cell a=7.296 b=4.115 c=10.935 alpha=90.00 beta=102.75 gamma=90.00
Fractional coordinates of all 12 atoms:
La 0.159 0.250 0.194
La 0.841 0.750 0.806
Nd 0.264 0.750 0.557
Nd 0.736 0.250 0.443
Y 0.378 0.250 0.871
Y 0.622 0.750 0.129
Se 0.049 0.250 0.671
Se 0.225 0.750 0.999
Se 0.445 0.750 0.339
Se 0.555 0.250 0.661
Se 0.775 0.250 0.001
Se 0.951 0.750 0.329

---

A geometry-optimized LaNd2YSe4 structure, computed with PBE-GGA.

Summary:
Its uncorrected energy is -0.457 Ry per atom. The magnetization comes out at 0.00 μB/atom. Its crystal system is monoclinic. The calculated volume comes out at 212.2 Å³/cell. For the raw formation energy, the calculation gives -1855.8 meV per atom. Its density of states at the Fermi level is 4.98 states/eV/f.u.

Unit cell a=7.303 b=4.172 c=7.364 alpha=90.00 beta=108.92 gamma=90.00
Fractional coordinates of all 8 atoms:
La 0.000 0.000 0.000
Nd 0.500 0.000 0.500
Nd 0.500 0.500 0.000
Y 0.000 0.500 0.500
Se 0.242 0.000 0.739
Se 0.248 0.500 0.258
Se 0.752 0.500 0.742
Se 0.758 0.000 0.261

---

A geometry-optimized La3Nd3YSe8 structure, computed with PBE-GGA.

Summary:
Its uncorrected energy is -0.453 Ry per atom. The magnetization comes out at 0.00 μB/atom. Its crystal system is trigonal. The calculated volume comes out at 434.5 Å³/cell. For the raw formation energy, the calculation gives -1940.8 meV per atom. Its density of states at the Fermi level is 7.83 states/eV/f.u.

Unit cell a=8.532 b=8.532 c=8.532 alpha=59.53 beta=59.53 gamma=59.53
Fractional coordinates of all 15 atoms:
La 0.000 0.500 0.500
La 0.500 0.000 0.500
La 0.500 0.500 0.000
Nd 0.000 0.000 0.500
Nd 0.000 0.500 0.000
Nd 0.500 0.000 0.000
Y 0.500 0.500 0.500
Se 0.249 0.249 0.249
Se 0.253 0.744 0.744
Se 0.256 0.256 0.747
Se 0.256 0.747 0.256
Se 0.744 0.253 0.744
Se 0.744 0.744 0.253
Se 0.747 0.256 0.256
Se 0.751 0.751 0.751

---

A geometry-optimized LaNdSi3 structure, computed with PBE-GGA.

Summary:
Its uncorrected energy is -0.435 Ry per atom. The magnetization comes out at 0.00 μB/atom. Its crystal system is orthorhombic. The calculated volume comes out at 224.9 Å³/cell. For the raw formation energy, the calculation gives -721.0 meV per atom. Its density of states at the Fermi level is 2.18 states/eV/f.u.

Unit cell a=12.719 b=12.719 c=4.020 alpha=90.00 beta=90.00 gamma=159.77
Fractional coordinates of all 10 atoms:
La 0.069 0.931 0.750
La 0.931 0.069 0.250
Nd 0.202 0.798 0.250
Nd 0.798 0.202 0.750
Si 0.324 0.676 0.250
Si 0.381 0.619 0.750
Si 0.476 0.524 0.750
Si 0.524 0.476 0.250
Si 0.619 0.381 0.250
Si 0.676 0.324 0.750

---

A geometry-optimized LaNd4Si4 structure, computed with PBE-GGA.

Summary:
Its uncorrected energy is -0.405 Ry per atom. The magnetization comes out at 0.00 μB/atom. Its crystal system is tetragonal. The calculated volume comes out at 514.0 Å³/cell. For the raw formation energy, the calculation gives -430.4 meV per atom. Its density of states at the Fermi level is 10.51 states/eV/f.u.

Unit cell a=9.257 b=9.257 c=5.999 alpha=90.00 beta=90.00 gamma=90.00
Fractional coordinates of all 18 atoms:
La 0.250 0.250 0.250
La 0.750 0.750 0.750
Nd 0.066 0.664 0.121
Nd 0.164 0.934 0.621
Nd 0.336 0.566 0.621
Nd 0.434 0.836 0.121
Nd 0.566 0.164 0.879
Nd 0.664 0.434 0.379
Nd 0.836 0.066 0.379
Nd 0.934 0.336 0.879
Si 0.021 0.610 0.612
Si 0.110 0.979 0.112
Si 0.390 0.521 0.112
Si 0.479 0.890 0.612
Si 0.521 0.110 0.388
Si 0.610 0.479 0.888
Si 0.890 0.021 0.888
Si 0.979 0.390 0.388

---

A geometry-optimized LaNd2Si2 structure, computed with PBE-GGA.

Summary:
Its uncorrected energy is -0.411 Ry per atom. The magnetization comes out at 0.00 μB/atom. Its crystal system is monoclinic. The calculated volume comes out at 268.9 Å³/cell. For the raw formation energy, the calculation gives -535.1 meV per atom. Its density of states at the Fermi level is 4.16 states/eV/f.u.

Unit cell a=6.647 b=6.647 c=10.700 alpha=114.98 beta=114.98 gamma=39.54
Fractional coordinates of all 10 atoms:
La 0.215 0.215 0.350
La 0.785 0.785 0.650
Nd 0.316 0.316 0.911
Nd 0.488 0.488 0.315
Nd 0.512 0.512 0.685
Nd 0.684 0.684 0.089
Si 0.034 0.034 0.908
Si 0.107 0.107 0.560
Si 0.893 0.893 0.440
Si 0.966 0.966 0.092

---

A geometry-optimized LaNd2Si2 structure, computed with PBE-GGA.

Summary:
Its uncorrected energy is -0.417 Ry per atom. The magnetization comes out at 0.00 μB/atom. Its crystal system is tetragonal. The calculated volume comes out at 266.1 Å³/cell. For the raw formation energy, the calculation gives -616.3 meV per atom. Its density of states at the Fermi level is 5.56 states/eV/f.u.

Unit cell a=7.862 b=7.862 c=4.305 alpha=90.00 beta=90.00 gamma=90.00
Fractional coordinates of all 10 atoms:
La 0.000 0.000 0.000
La 0.500 0.500 0.000
Nd 0.176 0.324 0.500
Nd 0.324 0.824 0.500
Nd 0.676 0.176 0.500
Nd 0.824 0.676 0.500
Si 0.110 0.610 0.000
Si 0.390 0.110 0.000
Si 0.610 0.890 0.000
Si 0.890 0.390 0.000

---

A geometry-optimized La2Nd3Si2 structure, computed with PBE-GGA.

Summary:
Its uncorrected energy is -0.398 Ry per atom. The magnetization comes out at 0.00 μB/atom. Its crystal system is monoclinic. The calculated volume comes out at 211.7 Å³/cell. For the raw formation energy, the calculation gives -419.8 meV per atom. Its density of states at the Fermi level is 8.14 states/eV/f.u.

Unit cell a=6.457 b=6.457 c=8.649 alpha=110.00 beta=110.00 gamma=39.05
Fractional coordinates of all 7 atoms:
La 0.154 0.154 0.313
La 0.846 0.846 0.687
Nd 0.369 0.369 0.054
Nd 0.500 0.500 0.500
Nd 0.631 0.631 0.946
Si 0.167 0.167 0.709
Si 0.833 0.833 0.291

---

A geometry-optimized LaNdZnSi structure, computed with PBE-GGA.

Summary:
Its uncorrected energy is -0.334 Ry per atom. The magnetization comes out at 0.00 μB/atom. Its crystal system is cubic. The calculated volume comes out at 100.0 Å³/cell. For the raw formation energy, the calculation gives -442.0 meV per atom. Its density of states at the Fermi level is 2.62 states/eV/f.u.

Unit cell a=5.211 b=5.211 c=5.211 alpha=60.00 beta=60.00 gamma=60.00
Fractional coordinates of all 4 atoms:
La 0.000 0.000 0.000
Nd 0.500 0.500 0.500
Zn 0.250 0.250 0.250
Si 0.750 0.750 0.750

---

A geometry-optimized LaNd2Zn2Si2 structure, computed with PBE-GGA.

Summary:
Its uncorrected energy is -0.327 Ry per atom. The magnetization comes out at 0.12 μB/atom. Its crystal system is trigonal. The calculated volume comes out at 175.9 Å³/cell. For the raw formation energy, the calculation gives -474.5 meV per atom. Its density of states at the Fermi level is 6.36 states/eV/f.u.

Unit cell a=12.003 b=12.003 c=12.003 alpha=19.94 beta=19.94 gamma=19.94
Fractional coordinates of all 7 atoms:
La 0.000 0.000 0.000
Nd 0.122 0.122 0.122
Nd 0.878 0.878 0.878
Zn 0.397 0.397 0.397
Zn 0.603 0.603 0.603
Si 0.271 0.271 0.271
Si 0.729 0.729 0.729

---

A geometry-optimized LaNdZnSi structure, computed with PBE-GGA.

Summary:
Its uncorrected energy is -0.339 Ry per atom. The magnetization comes out at 0.00 μB/atom. Its crystal system is orthorhombic. The calculated volume comes out at 103.4 Å³/cell. For the raw formation energy, the calculation gives -516.4 meV per atom. Its density of states at the Fermi level is 3.64 states/eV/f.u.

Unit cell a=4.159 b=6.096 c=6.096 alpha=41.99 beta=90.00 gamma=90.00
Fractional coordinates of all 4 atoms:
La 0.000 0.000 0.000
Nd 0.500 0.712 0.712
Zn 0.500 0.416 0.416
Si 0.000 0.284 0.284

---

A geometry-optimized La3Nd2Sm4 structure, computed with PBE-GGA.

Summary:
Its uncorrected energy is -0.351 Ry per atom. The magnetization comes out at 0.00 μB/atom. Its crystal system is triclinic. The calculated volume comes out at 317.4 Å³/cell. The value obtained for the formation energy is 0.0192 eV/atom. Its density of states at the Fermi level is 15.58 states/eV/f.u.

Unit cell a=6.367 b=6.372 c=9.733 alpha=90.02 beta=108.86 gamma=119.94
Fractional coordinates of all 9 atoms:
La 0.000 0.000 0.000
La 0.445 0.557 0.667
La 0.555 0.443 0.333
Nd 0.222 0.777 0.333
Nd 0.778 0.223 0.667
Sm 0.112 0.889 0.667
Sm 0.333 0.668 0.000
Sm 0.667 0.332 0.000
Sm 0.888 0.111 0.333

---

A geometry-optimized La7Nd3Sm2 structure, computed with PBE-GGA.

Summary:
Its uncorrected energy is -0.352 Ry per atom. The magnetization comes out at 0.00 μB/atom. Its crystal system is monoclinic. The calculated volume comes out at 431.3 Å³/cell. The value obtained for the formation energy is 0.0601 eV/atom. Its density of states at the Fermi level is 19.44 states/eV/f.u.

Unit cell a=6.619 b=3.622 c=18.082 alpha=90.00 beta=95.81 gamma=90.00
Fractional coordinates of all 12 atoms:
La 0.000 0.000 0.000
La 0.222 0.500 0.171
La 0.260 0.500 0.491
La 0.274 0.000 0.833
La 0.726 0.000 0.167
La 0.740 0.500 0.509
La 0.778 0.500 0.829
Nd 0.454 0.000 0.336
Nd 0.500 0.500 0.000
Nd 0.546 0.000 0.664
Sm 0.059 0.500 0.669
Sm 0.941 0.500 0.331

---

A geometry-optimized LaNd5Sm4 structure, computed with PBE-GGA.

Summary:
Its uncorrected energy is -0.340 Ry per atom. The magnetization comes out at 0.00 μB/atom. Its crystal system is monoclinic. The calculated volume comes out at 352.3 Å³/cell. The value obtained for the formation energy is 0.1379 eV/atom. Its density of states at the Fermi level is 17.53 states/eV/f.u.

Unit cell a=14.551 b=14.551 c=6.980 alpha=97.29 beta=97.29 gamma=13.91
Fractional coordinates of all 10 atoms:
La 0.000 0.000 0.000
Nd 0.000 0.000 0.500
Nd 0.295 0.295 0.898
Nd 0.299 0.299 0.400
Nd 0.701 0.701 0.600
Nd 0.705 0.705 0.102
Sm 0.108 0.108 0.806
Sm 0.405 0.405 0.696
Sm 0.595 0.595 0.304
Sm 0.892 0.892 0.194

---

A geometry-optimized La2Nd4Sm5 structure, computed with PBE-GGA.

Summary:
Its uncorrected energy is -0.344 Ry per atom. The magnetization comes out at 0.00 μB/atom. Its crystal system is monoclinic. The calculated volume comes out at 386.7 Å³/cell. The value obtained for the formation energy is 0.0945 eV/atom. Its density of states at the Fermi level is 20.45 states/eV/f.u.

Unit cell a=10.532 b=10.532 c=6.421 alpha=96.28 beta=96.28 gamma=33.13
Fractional coordinates of all 11 atoms:
La 0.100 0.100 0.034
La 0.900 0.900 0.966
Nd 0.195 0.195 0.572
Nd 0.458 0.458 0.218
Nd 0.542 0.542 0.782
Nd 0.805 0.805 0.428
Sm 0.000 0.000 0.500
Sm 0.285 0.285 0.108
Sm 0.373 0.373 0.653
Sm 0.627 0.627 0.347
Sm 0.715 0.715 0.892

---

A geometry-optimized La3Nd4Sm8 structure, computed with PBE-GGA.

Summary:
Its uncorrected energy is -0.327 Ry per atom. The magnetization comes out at 0.00 μB/atom. Its crystal system is monoclinic. The calculated volume comes out at 536.4 Å³/cell. The value obtained for the formation energy is 0.3283 eV/atom. Its density of states at the Fermi level is 28.36 states/eV/f.u.

Unit cell a=9.462 b=9.462 c=6.956 alpha=111.49 beta=111.49 gamma=87.33
Fractional coordinates of all 15 atoms:
La 0.000 0.000 0.000
La 0.000 0.500 0.500
La 0.500 0.000 0.500
Nd 0.000 0.500 0.000
Nd 0.500 0.000 0.000
Nd 0.500 0.500 0.000
Nd 0.500 0.500 0.500
Sm 0.144 0.856 0.500
Sm 0.232 0.232 0.493
Sm 0.233 0.233 0.967
Sm 0.241 0.759 0.000
Sm 0.759 0.241 0.000
Sm 0.767 0.767 0.033
Sm 0.768 0.768 0.507
Sm 0.856 0.144 0.500

---

A geometry-optimized La3Nd3Sm5 structure, computed with PBE-GGA.

Summary:
Its uncorrected energy is -0.303 Ry per atom. The magnetization comes out at 0.00 μB/atom. Its crystal system is hexagonal. The calculated volume comes out at 471.2 Å³/cell. The value obtained for the formation energy is 0.6690 eV/atom. Its density of states at the Fermi level is 19.41 states/eV/f.u.

Unit cell a=9.780 b=9.780 c=5.689 alpha=90.00 beta=90.00 gamma=120.00
Fractional coordinates of all 11 atoms:
La 0.000 0.408 0.000
La 0.408 0.000 0.000
La 0.592 0.592 0.000
Nd 0.000 0.271 0.500
Nd 0.271 0.000 0.500
Nd 0.729 0.729 0.500
Sm 0.000 0.634 0.500
Sm 0.333 0.667 0.500
Sm 0.366 0.366 0.500
Sm 0.634 0.000 0.500
Sm 0.667 0.333 0.500

---

A geometry-optimized La7NdSm2 structure, computed with PBE-GGA.

Summary:
Its uncorrected energy is -0.335 Ry per atom. The magnetization comes out at 0.00 μB/atom. Its crystal system is orthorhombic. The calculated volume comes out at 377.4 Å³/cell. The value obtained for the formation energy is 0.3136 eV/atom. Its density of states at the Fermi level is 16.81 states/eV/f.u.

Unit cell a=10.599 b=10.599 c=3.564 alpha=90.00 beta=90.00 gamma=109.45
Fractional coordinates of all 10 atoms:
La 0.000 0.000 0.000
La 0.113 0.374 0.000
La 0.179 0.821 0.500
La 0.374 0.113 0.000
La 0.626 0.887 0.000
La 0.821 0.179 0.500
La 0.887 0.626 0.000
Nd 0.500 0.500 0.500
Sm 0.332 0.668 0.000
Sm 0.668 0.332 0.000